[1]
## As2IrPt (GGA-PBE)

Data for As2IrPt after structural relaxation.

Cell lengths 3.031, 3.228, 6.643 Å; angles 90.00, 90.00, 90.00 degrees
Fractional coordinates of all 4 atoms:
As1 0.000 0.000 0.491
As2 0.000 0.000 0.009
Pt1 0.500 0.500 0.750
Ir1 0.500 0.500 0.250

Computed properties:
offset from the most stable computed form	0.80	eV per formula unit
E_form	116	meV/atom
density of states at the Fermi level	2.282	states/eV per cell
total energy	-5.93	eV/atom

[2]
## Ca2As2Pb (GGA-PBE)

Data for Ca2As2Pb after structural relaxation.

Cell lengths 5.176, 5.176, 6.461 Å; angles 66.39, 66.39, 90.00 degrees
Fractional coordinates of all 5 atoms:
As1 0.385 0.385 0.231
As2 0.615 0.615 0.769
Pb1 0.000 0.000 0.000
Ca1 0.750 0.250 0.500
Ca2 0.250 0.750 0.500

Computed properties:
offset from the most stable computed form	1.35	eV per formula unit
E_form	-500	meV/atom
density of states at the Fermi level	2.528	states/eV per cell
total energy	-3.90	eV/atom

[3]
## LiAl2H6 (GGA-PBE)

Data for LiAl2H6 after structural relaxation.

Cell lengths 5.969, 5.946, 5.946 Å; angles 87.24, 77.02, 77.02 degrees
Fractional coordinates of all 18 atoms:
H1 0.562 0.310 0.450
H2 0.088 0.828 0.906
H3 0.062 0.450 0.310
H4 0.588 0.906 0.828
H5 0.319 0.399 0.892
H6 0.412 0.094 0.172
H7 0.912 0.172 0.094
H8 0.181 0.108 0.601
H9 0.438 0.690 0.550
H10 0.681 0.601 0.108
H11 0.938 0.550 0.690
H12 0.819 0.892 0.399
Al1 0.706 0.732 0.606
Al2 0.794 0.394 0.268
Al3 0.206 0.606 0.732
Al4 0.294 0.268 0.394
Li1 0.750 0.907 0.093
Li2 0.250 0.093 0.907

Computed properties:
offset from the most stable computed form	0.00	eV per formula unit
density of states at the Fermi level	1.486	states/eV per cell
total energy	-3.28	eV/atom

[4]
## Ac3AlP (GGA-PBE)

Data for Ac3AlP after structural relaxation.

Cell lengths 5.805, 5.805, 5.805 Å; angles 90.00, 90.00, 90.00 degrees
Fractional coordinates of all 5 atoms:
Ac1 0.000 0.000 0.500
Ac2 0.500 0.000 0.000
Ac3 0.000 0.500 0.000
P1 0.000 0.000 0.000
Al1 0.500 0.500 0.500

Computed properties:
E_form	-388	meV/atom
density of states at the Fermi level	2.335	states/eV per cell
total energy	-4.68	eV/atom

[5]
## PmPr6Se8 (GGA-PBE)

Data for PmPr6Se8 after structural relaxation.

Cell lengths 8.498, 8.498, 8.498 Å; angles 60.00, 60.00, 60.00 degrees
Fractional coordinates of all 15 atoms:
Se1 0.750 0.750 0.750
Se2 0.750 0.250 0.750
Se3 0.250 0.250 0.250
Se4 0.250 0.750 0.750
Se5 0.750 0.750 0.250
Se6 0.750 0.250 0.250
Se7 0.250 0.750 0.250
Se8 0.250 0.250 0.750
Pm1 0.000 0.000 0.000
Pr1 0.000 0.500 0.000
Pr2 0.000 0.000 0.500
Pr3 0.500 0.000 0.500
Pr4 0.500 0.000 0.000
Pr5 0.500 0.500 0.000
Pr6 0.000 0.500 0.500

Computed properties:
formation energy without anion corrections	-1877	meV per atom
density of states at the Fermi level	7.185	states/eV per cell
total energy	-5.96	eV/atom

[6]
## HfMo2WBr (GGA-PBE)

Data for HfMo2WBr after structural relaxation.

Cell lengths 4.839, 4.787, 4.839 Å; angles 90.00, 90.00, 90.00 degrees
Fractional coordinates of all 5 atoms:
Mo1 0.000 0.000 0.500
Mo2 0.500 0.000 0.000
Hf1 0.500 0.500 0.500
W1 0.000 0.000 0.000
Br1 0.000 0.500 0.000

Computed properties:
formation energy without anion corrections	1685	meV per atom
density of states at the Fermi level	6.951	states/eV per cell
total energy	-7.56	eV/atom

[7]
## Rb3LaY2S6 (GGA-PBE)

Data for Rb3LaY2S6 after structural relaxation.

Cell lengths 7.212, 7.212, 8.065 Å; angles 98.58, 98.58, 120.00 degrees
Fractional coordinates of all 12 atoms:
Rb1 0.834 0.166 0.500
Rb2 0.500 0.500 0.500
Rb3 0.166 0.834 0.500
S1 0.590 0.935 0.806
S2 0.720 0.720 0.194
S3 0.280 0.280 0.806
S4 0.065 0.410 0.194
S5 0.935 0.590 0.806
S6 0.410 0.065 0.194
La1 0.000 0.000 0.000
Y1 0.667 0.333 0.000
Y2 0.333 0.667 0.000

Computed properties:
formation energy without anion corrections	-1868	meV per atom
density of states at the Fermi level	0.000	states/eV per cell
total energy	-5.66	eV/atom

[8]
## SrAcAgO3 (GGA-PBE)

Data for SrAcAgO3 after structural relaxation.

Cell lengths 4.079, 7.268, 8.890 Å; angles 90.00, 90.00, 106.30 degrees
Fractional coordinates of all 12 atoms:
Sr1 0.328 0.655 0.250
Sr2 0.672 0.345 0.750
O1 0.386 0.771 0.979
O2 0.614 0.229 0.479
O3 0.922 0.845 0.250
O4 0.078 0.155 0.750
O5 0.614 0.229 0.021
O6 0.386 0.771 0.521
Ac1 0.000 0.000 0.000
Ac2 0.000 0.000 0.500
Ag1 0.373 0.746 0.750
Ag2 0.627 0.254 0.250

Computed properties:
formation energy without anion corrections	-2235	meV per atom
density of states at the Fermi level	0.000	states/eV per cell
total energy	-6.15	eV/atom

[9]
## DyYTm2As4 (GGA-PBE)

Data for DyYTm2As4 after structural relaxation.

Cell lengths 4.094, 7.087, 7.087 Å; angles 70.54, 90.00, 90.00 degrees
Fractional coordinates of all 8 atoms:
Tm1 0.500 0.000 0.500
Tm2 0.000 0.000 0.000
Y1 0.000 0.500 0.500
As1 0.500 0.754 0.248
As2 0.000 0.246 0.251
As3 0.500 0.246 0.752
As4 0.000 0.754 0.749
Dy1 0.500 0.500 0.000

Computed properties:
E_form	-1526	meV/atom
density of states at the Fermi level	1.064	states/eV per cell
total energy	-6.35	eV/atom

[10]
## MgW2Br (GGA-PBE)

Data for MgW2Br after structural relaxation.

Cell lengths 5.796, 5.796, 5.796 Å; angles 141.81, 141.81, 55.11 degrees
Fractional coordinates of all 4 atoms:
Br1 0.250 0.750 0.500
W1 0.000 0.000 0.000
W2 0.500 0.500 0.000
Mg1 0.750 0.250 0.500

Computed properties:
formation energy without anion corrections	1053	meV per atom
offset from the most stable computed form	3.08	eV per formula unit
density of states at the Fermi level	3.828	states/eV per cell
total energy	-6.24	eV/atom

[11]
## TbNd5Ho2Tm (GGA-PBE)

Data for TbNd5Ho2Tm after structural relaxation.

Cell lengths 5.633, 10.593, 10.714 Å; angles 90.00, 90.00, 105.42 degrees
Fractional coordinates of all 18 atoms:
Ho1 0.114 0.229 0.308
Ho2 0.112 0.224 0.740
Ho3 0.888 0.776 0.240
Ho4 0.886 0.771 0.808
Nd1 0.984 0.969 0.517
Nd2 0.615 0.230 0.521
Nd3 0.016 0.031 0.017
Nd4 0.280 0.560 0.312
Nd5 0.297 0.594 0.706
Nd6 0.484 0.967 0.744
Nd7 0.703 0.406 0.206
Nd8 0.385 0.770 0.021
Nd9 0.516 0.033 0.244
Nd10 0.720 0.440 0.812
Tb1 0.199 0.398 0.010
Tb2 0.801 0.602 0.510
Tm1 0.408 0.815 0.465
Tm2 0.592 0.185 0.965

Computed properties:
E_form	142	meV/atom
density of states at the Fermi level	28.689	states/eV per cell
total energy	-4.54	eV/atom

[12]
## Y5Ho4Tl (GGA-PBE)

Data for Y5Ho4Tl after structural relaxation.

Cell lengths 6.159, 7.916, 7.916 Å; angles 81.30, 67.11, 67.11 degrees
Fractional coordinates of all 10 atoms:
Ho1 0.414 0.400 0.695
Ho2 0.109 0.305 0.400
Ho3 0.814 0.695 0.600
Ho4 0.509 0.600 0.305
Y1 0.819 0.377 0.915
Y2 0.636 0.000 0.000
Y3 0.196 0.915 0.623
Y4 0.734 0.085 0.377
Y5 0.111 0.623 0.085
Tl1 0.169 0.000 0.000

Computed properties:
offset from the most stable computed form	1.57	eV per formula unit
E_form	213	meV/atom
density of states at the Fermi level	14.880	states/eV per cell
total energy	-5.09	eV/atom

[13]
## FeMoPdN2 (GGA-PBE)

Data for FeMoPdN2 after structural relaxation.

Cell lengths 3.829, 5.381, 3.829 Å; angles 90.00, 90.00, 90.00 degrees
Last column: magnetic moment on the atom in μB.
Fractional coordinates of all 5 atoms:
Fe1 0.500 0.500 0.500  2.98
Mo1 0.000 0.500 0.000  -1.97
N1 0.500 0.000 0.000  0.85
N2 0.000 0.000 0.500  0.65
Pd1 0.000 0.000 0.000  0.30

Computed properties:
formation energy without anion corrections	2106	meV per atom
density of states at the Fermi level	4.094	states/eV per cell
total energy	-6.12	eV/atom

[14]
## BaSc4Mn (GGA-PBE)

Data for BaSc4Mn after structural relaxation.

Cell lengths 6.226, 6.226, 6.226 Å; angles 60.00, 60.00, 60.00 degrees
Last column: magnetic moment on the atom in μB.
Fractional coordinates of all 6 atoms:
Mn1 0.000 0.000 0.000  4.19
Ba1 0.750 0.750 0.750  0.03
Sc1 0.372 0.372 0.372  0.01
Sc2 0.884 0.372 0.372  0.01
Sc3 0.372 0.372 0.884  0.01
Sc4 0.372 0.884 0.372  0.01

Computed properties:
E_form	583	meV/atom
density of states at the Fermi level	9.642	states/eV per cell
total energy	-5.49	eV/atom

[15]
## Nd4Cd2N (GGA-PBE)

Data for Nd4Cd2N after structural relaxation.

Cell lengths 3.602, 9.351, 6.732 Å; angles 120.81, 90.00, 90.00 degrees
Fractional coordinates of all 7 atoms:
Nd1 0.500 0.107 0.337
Nd2 0.500 0.036 0.806
Nd3 0.000 0.393 0.243
Nd4 0.000 0.749 0.900
Cd1 0.500 0.418 0.837
Cd2 0.500 0.725 0.306
N1 0.000 0.071 0.071

Computed properties:
formation energy without anion corrections	-423	meV per atom
offset from the most stable computed form	0.58	eV per formula unit
density of states at the Fermi level	8.156	states/eV per cell
total energy	-4.60	eV/atom

[16]
## Na3SrLi8 (GGA-PBE)

Data for Na3SrLi8 after structural relaxation.

Cell lengths 6.087, 6.087, 10.877 Å; angles 73.75, 73.75, 60.00 degrees
Fractional coordinates of all 12 atoms:
Li1 0.688 0.688 0.937
Li2 0.937 0.937 0.691
Li3 0.937 0.436 0.691
Li4 0.439 0.439 0.181
Li5 0.439 0.941 0.181
Li6 0.941 0.439 0.181
Li7 0.436 0.937 0.691
Li8 0.187 0.187 0.439
Na1 0.375 0.375 0.876
Na2 0.495 0.495 0.516
Na3 0.002 0.002 0.993
Sr1 0.875 0.875 0.374

Computed properties:
E_form	36	meV/atom
density of states at the Fermi level	5.188	states/eV per cell
total energy	-1.71	eV/atom

[17]
## PrDyAlHg (GGA-PBE)

Data for PrDyAlHg after structural relaxation.

Cell lengths 3.618, 3.618, 7.944 Å; angles 90.00, 90.00, 90.00 degrees
Fractional coordinates of all 4 atoms:
Dy1 0.500 0.500 0.599
Al1 0.000 0.000 0.370
Hg1 0.000 0.000 0.837
Pr1 0.500 0.500 0.121

Computed properties:
offset from the most stable computed form	0.00	eV per formula unit
E_form	-428	meV/atom
density of states at the Fermi level	2.024	states/eV per cell
total energy	-3.78	eV/atom

[18]
## EuPaGaHg (GGA-PBE)

Data for EuPaGaHg after structural relaxation.

Cell lengths 5.268, 5.268, 5.268 Å; angles 60.00, 60.00, 60.00 degrees
Last column: magnetic moment on the atom in μB.
Fractional coordinates of all 4 atoms:
Ga1 0.250 0.250 0.250  0.02
Eu1 0.000 0.000 0.000  -6.85
Hg1 0.750 0.750 0.750  -0.01
Pa1 0.500 0.500 0.500  0.47

Computed properties:
E_form	-74	meV/atom
density of states at the Fermi level	6.478	states/eV per cell
total energy	-5.85	eV/atom

[19]
## ReMoRu3 (GGA-PBE)

Data for ReMoRu3 after structural relaxation.

Cell lengths 2.757, 8.510, 7.067 Å; angles 108.12, 113.00, 80.63 degrees
Fractional coordinates of all 10 atoms:
Mo1 0.357 0.374 0.527
Mo2 0.158 0.843 0.568
Re1 0.763 0.446 0.973
Re2 0.752 0.772 0.123
Ru1 0.155 0.172 0.726
Ru2 0.966 0.981 0.941
Ru3 0.551 0.579 0.326
Ru4 0.964 0.639 0.770
Ru5 0.549 0.237 0.155
Ru6 0.361 0.046 0.370

Computed properties:
offset from the most stable computed form	0.00	eV per formula unit
E_form	-40	meV/atom
density of states at the Fermi level	7.246	states/eV per cell
total energy	-10.26	eV/atom

[20]
## PmEr2ScP4 (GGA-PBE)

Data for PmEr2ScP4 after structural relaxation.

Cell lengths 3.968, 6.857, 6.866 Å; angles 109.46, 90.00, 90.00 degrees
Fractional coordinates of all 8 atoms:
P1 0.500 0.239 0.245
P2 0.000 0.761 0.253
P3 0.500 0.761 0.755
P4 0.000 0.239 0.747
Sc1 0.000 0.000 0.000
Pm1 0.500 0.500 0.000
Er1 0.500 0.000 0.500
Er2 0.000 0.500 0.500

Computed properties:
E_form	-1534	meV/atom
density of states at the Fermi level	0.732	states/eV per cell
total energy	-6.76	eV/atom

[21]
## PmGaAg2 (GGA-PBE)

Data for PmGaAg2 after structural relaxation.

Cell lengths 4.327, 5.709, 7.447 Å; angles 90.00, 90.00, 112.27 degrees
Fractional coordinates of all 8 atoms:
Ga1 0.223 0.445 0.250
Ga2 0.777 0.555 0.750
Ag1 0.366 0.731 0.945
Ag2 0.366 0.731 0.555
Ag3 0.634 0.269 0.445
Ag4 0.634 0.269 0.055
Pm1 0.067 0.135 0.750
Pm2 0.933 0.865 0.250

Computed properties:
E_form	-344	meV/atom
density of states at the Fermi level	5.787	states/eV per cell
total energy	-3.71	eV/atom

[22]
## Ta2InNi (GGA-PBE)

Data for Ta2InNi after structural relaxation.

Cell lengths 9.425, 9.425, 9.425 Å; angles 18.06, 18.06, 18.06 degrees
Fractional coordinates of all 4 atoms:
Ta1 0.491 0.491 0.491
Ta2 0.009 0.009 0.009
In1 0.250 0.250 0.250
Ni1 0.750 0.750 0.750

Computed properties:
E_form	243	meV/atom
density of states at the Fermi level	5.635	states/eV per cell
total energy	-7.81	eV/atom

[23]
## Ti8InBi2 (GGA-PBE)

Data for Ti8InBi2 after structural relaxation.

Cell lengths 4.699, 7.244, 7.355 Å; angles 117.15, 108.63, 90.00 degrees
Fractional coordinates of all 11 atoms:
Ti1 0.325 0.110 0.650
Ti2 0.033 0.759 0.066
Ti3 0.416 0.557 0.833
Ti4 0.848 0.796 0.695
Ti5 0.152 0.204 0.305
Ti6 0.675 0.890 0.350
Ti7 0.967 0.241 0.934
Ti8 0.584 0.443 0.167
Bi1 0.794 0.350 0.589
Bi2 0.206 0.650 0.411
In1 0.500 0.000 0.000

Computed properties:
E_form	-79	meV/atom
density of states at the Fermi level	15.207	states/eV per cell
total energy	-6.77	eV/atom